[1]
# As3RuN | the Alexandria database | PBEsol | optimized geometry
data_As3RuN
_chemical_formula_sum 'As3 Ru1 N1'
_cell_length_a 4.156
_cell_length_b 4.156
_cell_length_c 4.156
_cell_angle_alpha 90.00
_cell_angle_beta 90.00
_cell_angle_gamma 90.00
_space_group_name_H-M_alt 'P 1'
_space_group_IT_number 1
loop_
_space_group_symop_operation_xyz
'x,y,z'
loop_
_atom_site_label
_atom_site_fract_x
_atom_site_fract_y
_atom_site_fract_z
As1 0.000 0.000 0.500
As2 0.000 0.500 0.000
As3 0.500 0.000 0.000
Ru1 0.500 0.500 0.500
N1 0.000 0.000 0.000
# - Electronic total energy: -6.053 eV per atom
# - Space-group type: Pm-3m, No. 221
# - Spin magnetization: 0.00 Bohr magnetons per cell

***

[2]
# CaMnCl2 | the Alexandria database | PBEsol | optimized geometry
data_CaMnCl2
_chemical_formula_sum 'Ca4 Mn4 Cl8'
_cell_length_a 7.093
_cell_length_b 7.093
_cell_length_c 7.093
_cell_angle_alpha 90.00
_cell_angle_beta 90.00
_cell_angle_gamma 90.00
_space_group_name_H-M_alt 'P 1'
_space_group_IT_number 1
loop_
_space_group_symop_operation_xyz
'x,y,z'
loop_
_atom_site_label
_atom_site_fract_x
_atom_site_fract_y
_atom_site_fract_z
Ca1 0.000 0.000 0.000
Ca2 0.000 0.500 0.500
Ca3 0.500 0.000 0.500
Ca4 0.500 0.500 0.000
Mn1 0.250 0.250 0.250
Mn2 0.250 0.750 0.750
Mn3 0.750 0.250 0.750
Mn4 0.750 0.750 0.250
Cl1 0.000 0.000 0.500
Cl2 0.000 0.500 0.000
Cl3 0.250 0.250 0.750
Cl4 0.250 0.750 0.250
Cl5 0.500 0.000 0.000
Cl6 0.500 0.500 0.500
Cl7 0.750 0.250 0.250
Cl8 0.750 0.750 0.750
# - Electronic total energy: -4.273 eV per atom
# - Space-group type: F-43m, No. 216
# - Spin magnetization: 20.00 Bohr magnetons per cell

***

[3]
# CoSnN | the Alexandria database | PBEsol | optimized geometry
data_CoSnN
_chemical_formula_sum 'Co2 Sn2 N2'
_cell_length_a 2.995
_cell_length_b 2.995
_cell_length_c 11.258
_cell_angle_alpha 90.00
_cell_angle_beta 90.00
_cell_angle_gamma 120.00
_space_group_name_H-M_alt 'P 1'
_space_group_IT_number 1
loop_
_space_group_symop_operation_xyz
'x,y,z'
loop_
_atom_site_label
_atom_site_fract_x
_atom_site_fract_y
_atom_site_fract_z
Co1 0.333 0.667 0.000
Co2 0.667 0.333 0.500
Sn1 0.000 0.000 0.294
Sn2 0.000 0.000 0.794
N1 0.333 0.667 0.546
N2 0.667 0.333 0.046
# - Electronic total energy: -6.644 eV per atom
# - Space-group type: P6_3mc, No. 186
# - Spin magnetization: 0.00 Bohr magnetons per cell

***

[4]
# HfAs2HCl | the Alexandria database | PBEsol | optimized geometry
data_HfAs2HCl
_chemical_formula_sum 'Hf1 As2 H1 Cl1'
_cell_length_a 3.920
_cell_length_b 3.920
_cell_length_c 4.966
_cell_angle_alpha 90.00
_cell_angle_beta 90.00
_cell_angle_gamma 90.00
_space_group_name_H-M_alt 'P 1'
_space_group_IT_number 1
loop_
_space_group_symop_operation_xyz
'x,y,z'
loop_
_atom_site_label
_atom_site_fract_x
_atom_site_fract_y
_atom_site_fract_z
Hf1 0.000 0.000 0.000
As1 0.000 0.500 0.500
As2 0.500 0.000 0.500
H1 0.000 0.000 0.500
Cl1 0.500 0.500 0.000
# - Electronic total energy: -5.127 eV per atom
# - Space-group type: P4/mmm, No. 123
# - Spin magnetization: 0.00 Bohr magnetons per cell

***

[5]
# CsNa3Be | the Alexandria database | PBEsol | optimized geometry
data_CsNa3Be
_chemical_formula_sum 'Cs1 Na3 Be1'
_cell_length_a 5.782
_cell_length_b 5.782
_cell_length_c 5.782
_cell_angle_alpha 90.00
_cell_angle_beta 90.00
_cell_angle_gamma 90.00
_space_group_name_H-M_alt 'P 1'
_space_group_IT_number 1
loop_
_space_group_symop_operation_xyz
'x,y,z'
loop_
_atom_site_label
_atom_site_fract_x
_atom_site_fract_y
_atom_site_fract_z
Cs1 0.000 0.000 0.000
Na1 0.000 0.500 0.500
Na2 0.500 0.000 0.500
Na3 0.500 0.500 0.000
Be1 0.500 0.500 0.500
# - Space-group type: Pm-3m, No. 221
# - ΔE_f: 430 meV/atom
# - Spin magnetization: 0.00 Bohr magnetons per cell

***

[6]
# CuAg3 | the Alexandria database | PBEsol | optimized geometry
data_CuAg3
_chemical_formula_sum 'Cu2 Ag6'
_cell_length_a 9.301
_cell_length_b 2.801
_cell_length_c 4.832
_cell_angle_alpha 90.00
_cell_angle_beta 101.90
_cell_angle_gamma 90.00
_space_group_name_H-M_alt 'P 1'
_space_group_IT_number 1
loop_
_space_group_symop_operation_xyz
'x,y,z'
loop_
_atom_site_label
_atom_site_fract_x
_atom_site_fract_y
_atom_site_fract_z
Cu1 0.000 0.000 0.000
Cu2 0.500 0.500 0.000
Ag1 0.000 0.500 0.500
Ag2 0.242 0.500 0.242
Ag3 0.258 0.000 0.758
Ag4 0.500 0.000 0.500
Ag5 0.742 0.000 0.242
Ag6 0.758 0.500 0.758
# - Space-group type: C2/m, No. 12
# - ΔE_f: 77 meV/atom
# - Spin magnetization: 0.00 Bohr magnetons per cell

***

[7]
# HfScBe2 | the Alexandria database | PBEsol | optimized geometry
data_HfScBe2
_chemical_formula_sum 'Hf4 Sc4 Be8'
_cell_length_a 6.218
_cell_length_b 6.218
_cell_length_c 6.218
_cell_angle_alpha 90.00
_cell_angle_beta 90.00
_cell_angle_gamma 90.00
_space_group_name_H-M_alt 'P 1'
_space_group_IT_number 1
loop_
_space_group_symop_operation_xyz
'x,y,z'
loop_
_atom_site_label
_atom_site_fract_x
_atom_site_fract_y
_atom_site_fract_z
Hf1 0.000 0.000 0.000
Hf2 0.000 0.500 0.500
Hf3 0.500 0.000 0.500
Hf4 0.500 0.500 0.000
Sc1 0.000 0.000 0.500
Sc2 0.000 0.500 0.000
Sc3 0.500 0.000 0.000
Sc4 0.500 0.500 0.500
Be1 0.250 0.250 0.250
Be2 0.250 0.250 0.750
Be3 0.250 0.750 0.250
Be4 0.250 0.750 0.750
Be5 0.750 0.250 0.250
Be6 0.750 0.250 0.750
Be7 0.750 0.750 0.250
Be8 0.750 0.750 0.750
# - Space-group type: Fm-3m, No. 225
# - ΔE_f: -47 meV/atom
# - Spin magnetization: 0.00 Bohr magnetons per cell

***

[8]
# CeYMg4 | the Alexandria database | PBEsol | optimized geometry
data_CeYMg4
_chemical_formula_sum 'Ce1 Y1 Mg4'
_cell_length_a 5.993
_cell_length_b 5.993
_cell_length_c 5.993
_cell_angle_alpha 60.00
_cell_angle_beta 60.00
_cell_angle_gamma 60.00
_space_group_name_H-M_alt 'P 1'
_space_group_IT_number 1
loop_
_space_group_symop_operation_xyz
'x,y,z'
loop_
_atom_site_label
_atom_site_fract_x
_atom_site_fract_y
_atom_site_fract_z
Ce1 0.000 0.000 0.000
Y1 0.250 0.250 0.250
Mg1 0.125 0.625 0.625
Mg2 0.625 0.125 0.625
Mg3 0.625 0.625 0.125
Mg4 0.625 0.625 0.625
# - Space-group type: F-43m, No. 216
# - ΔE_f: 3 meV/atom
# - Spin magnetization: 1.04 Bohr magnetons per cell

***

[9]
# I | the Alexandria database | PBEsol | optimized geometry
data_I
_chemical_formula_sum 'I2'
_cell_length_a 2.984
_cell_length_b 3.471
_cell_length_c 7.399
_cell_angle_alpha 90.00
_cell_angle_beta 90.00
_cell_angle_gamma 90.00
_space_group_name_H-M_alt 'P 1'
_space_group_IT_number 1
loop_
_space_group_symop_operation_xyz
'x,y,z'
loop_
_atom_site_label
_atom_site_fract_x
_atom_site_fract_y
_atom_site_fract_z
I1 0.000 0.000 0.000
I2 0.500 0.500 0.500
# - Electronic total energy: -1.683 eV per atom
# - Space-group type: Immm, No. 71
# - Spin magnetization: 0.00 Bohr magnetons per cell

***

[10]
# CuNiMo2 | the Alexandria database | PBEsol | optimized geometry
data_CuNiMo2
_chemical_formula_sum 'Cu2 Ni2 Mo4'
_cell_length_a 3.649
_cell_length_b 3.657
_cell_length_c 7.794
_cell_angle_alpha 90.00
_cell_angle_beta 90.00
_cell_angle_gamma 90.00
_space_group_name_H-M_alt 'P 1'
_space_group_IT_number 1
loop_
_space_group_symop_operation_xyz
'x,y,z'
loop_
_atom_site_label
_atom_site_fract_x
_atom_site_fract_y
_atom_site_fract_z
Cu1 0.000 0.000 0.000
Cu2 0.500 0.500 0.000
Ni1 0.000 0.000 0.500
Ni2 0.500 0.500 0.500
Mo1 0.000 0.500 0.257
Mo2 0.000 0.500 0.743
Mo3 0.500 0.000 0.257
Mo4 0.500 0.000 0.743
# - Space-group type: Cmmm, No. 65
# - ΔE_f: 124 meV/atom
# - Spin magnetization: 0.00 Bohr magnetons per cell

***

[11]
# ZnCrOs2 | the Alexandria database | PBEsol | optimized geometry
data_ZnCrOs2
_chemical_formula_sum 'Zn2 Cr2 Os4'
_cell_length_a 2.794
_cell_length_b 4.448
_cell_length_c 8.715
_cell_angle_alpha 90.00
_cell_angle_beta 90.00
_cell_angle_gamma 90.00
_space_group_name_H-M_alt 'P 1'
_space_group_IT_number 1
loop_
_space_group_symop_operation_xyz
'x,y,z'
loop_
_atom_site_label
_atom_site_fract_x
_atom_site_fract_y
_atom_site_fract_z
Zn1 0.000 0.000 0.000
Zn2 0.500 0.500 0.500
Cr1 0.000 0.000 0.500
Cr2 0.500 0.500 0.000
Os1 0.000 0.500 0.228
Os2 0.000 0.500 0.772
Os3 0.500 0.000 0.272
Os4 0.500 0.000 0.728
# - Space-group type: Immm, No. 71
# - ΔE_f: 278 meV/atom
# - Spin magnetization: 1.32 Bohr magnetons per cell